Compound: Sr4IrO6
Source: Alexandria via LeMat-Bulk
Functional: PBE-GGA
Structure: relaxed

Cell: 6.946 6.946 6.946 Å, 90.36 90.36 90.36°
Last column: magnetic moment on the atom in μB.
Sites, in units of the cell vectors:
Sr1 0.750 0.750 0.750  0.00
Sr2 0.250 0.250 0.250  0.00
Sr3 0.250 0.616 0.884  0.00
Sr4 0.884 0.250 0.616  0.00
Sr5 0.616 0.884 0.250  0.00
Sr6 0.750 0.384 0.116  0.00
Sr7 0.116 0.750 0.384  0.00
Sr8 0.384 0.116 0.750  0.00
Ir1 0.500 0.500 0.500  0.62
Ir2 0.000 0.000 0.000  0.62
O1 0.072 0.285 0.942  0.06
O2 0.942 0.072 0.285  0.06
O3 0.285 0.942 0.072  0.06
O4 0.428 0.558 0.215  0.06
O5 0.215 0.428 0.558  0.06
O6 0.558 0.215 0.428  0.06
O7 0.928 0.715 0.058  0.06
O8 0.058 0.928 0.715  0.06
O9 0.715 0.058 0.928  0.06
O10 0.572 0.442 0.785  0.06
O11 0.442 0.785 0.572  0.06
O12 0.785 0.572 0.442  0.06

## Properties
DOS at the Fermi energy: 11.5 states/eV/cell
formation energy (no corrections): -2.2600 eV/atom
symmetry: R-3c


Compound: BaBiSb2Te
Source: Alexandria via LeMat-Bulk
Functional: PBE-GGA
Structure: relaxed

Cell: 5.821 5.821 6.104 Å, 90.00 90.00 90.00°
Sites, in units of the cell vectors:
Sb1 0.000 0.500 0.000
Sb2 0.500 0.000 0.000
Te1 0.000 0.000 0.500
Bi1 0.000 0.000 0.000
Ba1 0.500 0.500 0.500

## Properties
DOS at the Fermi energy: 5.8 states/eV/cell
formation energy (no corrections): -0.0661 eV/atom
symmetry: P4/mmm
energy relative to the lowest polymorph listed for this composition: 0.0 meV per atom


Compound: Ti2Sn2Te
Source: Alexandria via LeMat-Bulk
Functional: PBE-GGA
Structure: relaxed

Cell: 7.419 7.419 3.969 Å, 90.00 90.00 90.00°
Sites, in units of the cell vectors:
Te1 0.000 0.000 0.000
Te2 0.500 0.500 0.000
Sn1 0.143 0.643 0.500
Sn2 0.643 0.857 0.500
Sn3 0.857 0.357 0.500
Sn4 0.357 0.143 0.500
Ti1 0.343 0.843 0.000
Ti2 0.843 0.657 0.000
Ti3 0.657 0.157 0.000
Ti4 0.157 0.343 0.000

## Properties
DOS at the Fermi energy: 12.4 states/eV/cell
formation energy (no corrections): -0.2239 eV/atom
symmetry: P4/mbm
energy relative to the lowest polymorph listed for this composition: 0.0 meV per atom


What did the second record say?
Compound: BaBiSb2Te
Source: Alexandria via LeMat-Bulk
Functional: PBE-GGA
Structure: relaxed

Cell: 5.821 5.821 6.104 Å, 90.00 90.00 90.00°
Sites, in units of the cell vectors:
Sb1 0.000 0.500 0.000
Sb2 0.500 0.000 0.000
Te1 0.000 0.000 0.500
Bi1 0.000 0.000 0.000
Ba1 0.500 0.500 0.500

## Properties
DOS at the Fermi energy: 5.8 states/eV/cell
formation energy (no corrections): -0.0661 eV/atom
symmetry: P4/mmm
energy relative to the lowest polymorph listed for this composition: 0.0 meV per atom